No. 1
12
Lattice="-4.306 -0.117 -0.884 -1.782 -0.274 8.715 2.286 9.495 -1.458" Properties=species:S:1:pos:R:3 comment="PBE CeSm3Dy2Te6, relaxed" sg=C2/m formation_energy_uncorrected_ev_per_atom=-1.350 pbc="T T T"
Te -0.452 -0.017 2.204
Te -3.350 9.121 4.169
Te -0.662 6.125 2.414
Te -1.535 5.993 6.678
Te -3.139 2.978 3.959
Te -2.267 3.111 -0.306
Dy -3.257 6.076 4.121
Dy -0.545 3.028 2.251
Sm -3.044 -0.196 3.915
Sm -2.361 6.253 -0.267
Sm -1.441 2.851 6.639
Ce -2.153 -0.059 -0.442

***

No. 2
7
Lattice="3.480 -0.003 0.001 -1.728 6.738 -1.470 -0.002 -2.085 8.884" Properties=species:S:1:pos:R:3 comment="PBE Ho2Er2Mg3, relaxed" relative_energy_ev_per_atom=0.000 sg=P-1 pbc="T T T"
Mg 1.737 1.974 1.344
Mg 0.000 0.000 0.000
Mg 0.013 2.676 6.071
Ho 1.753 4.147 3.696
Ho -0.003 0.504 3.719
Er 0.008 4.610 0.553
Er 1.743 0.041 6.863

***

The records above give, respectively, total moment values of 0.1063, 0.0001 μB per atom.